Entry 1
K3RbZr | GGA-PBE | relaxed

Unit cell a=6.9406 b=6.9406 c=6.9406 alpha=90.00 beta=90.00 gamma=90.00
Space group Pm-3m (No. 221)
Asymmetric unit:
1 K 0.0000 0.0000 0.5000 [3 per cell]
2 Rb 0.0000 0.0000 0.0000 [1 per cell]
3 Zr 0.5000 0.5000 0.5000 [1 per cell]

Values from the calculation:
calculated volume	334.3	Å³ per cell
crystal system	cubic

---

Entry 2
K3RbZr | GGA-PBE | relaxed

Unit cell a=7.0242 b=7.0242 c=7.0242 alpha=90.00 beta=90.00 gamma=90.00
Space group Pm-3m (No. 221)
Asymmetric unit:
1 K 0.0000 0.0000 0.5000 [3 per cell]
2 Rb 0.5000 0.5000 0.5000 [1 per cell]
3 Zr 0.0000 0.0000 0.0000 [1 per cell]

Values from the calculation:
calculated volume	346.6	Å³ per cell
crystal system	cubic

---

Least stable of them? entry 1.

---

Entry 1
KLa2Ta | GGA-PBE | relaxed

Unit cell a=3.3800 b=5.7968 c=6.3521 alpha=90.00 beta=90.00 gamma=90.00
Space group Pmmm (No. 47)
Asymmetric unit:
1 K 0.0000 0.0000 0.0000 [1 per cell]
2 La 0.0000 0.5000 0.5000 [1 per cell]
3 La 0.5000 0.5000 0.0000 [1 per cell]
4 Ta 0.5000 0.0000 0.5000 [1 per cell]

Values from the calculation:
calculated volume	124.5	Å³ per cell
crystal system	orthorhombic

---

Entry 2
KLa2Ta | GGA-PBE | relaxed

Unit cell a=10.9280 b=3.2660 c=8.4266 alpha=90.00 beta=93.00 gamma=90.00
Space group Cm (No. 8)
Asymmetric unit:
1 K 0.0000 0.0000 0.0000 [2 per cell]
2 La 0.2388 0.0000 0.6506 [2 per cell]
3 La 0.4880 0.0000 0.4269 [2 per cell]
4 Ta 0.2530 0.5000 0.3305 [2 per cell]

Values from the calculation:
calculated volume	300.3	Å³ per cell
crystal system	monoclinic

---

Least stable of them? entry 1.